1.
This record from Alexandria via LeMat-Bulk describes crystalline Ca3BiBr at its relaxed geometry. The functional is GGA-PBE.

The calculation puts the uncorrected formation energy at -52.3 kJ per mole of atoms. The energy above the lowest structure with this stoichiometry is 0.0000 eV/atom. As for the crystal system: cubic. The final energy is -14.27 eV/cell.

The space group is Pm-3m (No. 221) and the conventional cell measures 5.543, 5.543 and 5.543 Å, with angles of 90.00, 90.00 and 90.00 degrees. The inequivalent atoms are Ca at (0.000, 0.000, 0.500), Bi at (0.500, 0.500, 0.500) and Br at (0.000, 0.000, 0.000).


2.
This record from Alexandria via LeMat-Bulk describes crystalline Tb2TlPd at its relaxed geometry. The functional is GGA-PBE.

As for the crystal system: tetragonal. The formation energy comes out at -0.61 eV per atom. The final energy is -19.27 eV/cell.

The space group is P4/mmm (No. 123) and the conventional cell measures 3.578, 3.578 and 7.723 Å, with angles of 90.00, 90.00 and 90.00 degrees. The inequivalent atoms are Tb at (0.000, 0.000, 0.223), Tl at (0.500, 0.500, 0.500) and Pd at (0.500, 0.500, 0.000).


3.
This record from Alexandria via LeMat-Bulk describes crystalline Sm5Ga2Cu2 at its relaxed geometry. The functional is GGA-PBE.

As for the crystal system: orthorhombic. The formation energy comes out at -0.27 eV per atom. The final energy is -161.10 eV/cell.

The space group is Cmce (No. 64) and the conventional cell measures 15.676, 8.217 and 7.185 Å, with angles of 90.00, 90.00 and 90.00 degrees. The inequivalent atoms are Sm at (0.000, 0.000, 0.000), Sm at (0.137, 0.182, 0.343), Ga at (0.208, 0.000, 0.000) and Cu at (0.000, 0.118, 0.619).


4.
This record from Alexandria via LeMat-Bulk describes crystalline GaTcMoW at its relaxed geometry. The functional is GGA-PBE.

As for the crystal system: cubic. The formation energy comes out at 0.00 eV per atom. The final energy is -148.68 eV/cell.

The space group is F-43m (No. 216) and the conventional cell measures 6.256, 6.256 and 6.256 Å, with angles of 90.00, 90.00 and 90.00 degrees. The inequivalent atoms are Ga at (0.000, 0.000, 0.000), Tc at (0.250, 0.250, 0.250), Mo at (0.250, 0.250, 0.750) and W at (0.000, 0.000, 0.500).


5.
This record from Alexandria via LeMat-Bulk describes crystalline BeFe2MoH at its relaxed geometry. The functional is GGA-PBE.

The energy above the lowest structure with this stoichiometry is 0.0400 eV/atom. As for the crystal system: tetragonal. The final energy is -34.15 eV/cell.

The space group is P4/mmm (No. 123) and the conventional cell measures 3.750, 3.750 and 3.325 Å, with angles of 90.00, 90.00 and 90.00 degrees. The inequivalent atoms are Be at (0.000, 0.000, 0.000), Fe at (0.000, 0.500, 0.500), Mo at (0.500, 0.500, 0.000) and H at (0.000, 0.000, 0.500).


6.
This record from Alexandria via LeMat-Bulk describes crystalline BaAgAsO2 at its relaxed geometry. The functional is GGA-PBE.

The calculation puts the uncorrected formation energy at 15.5 kJ per mole of atoms. As for the crystal system: tetragonal. The final energy is -18.54 eV/cell.

The space group is P4/mmm (No. 123) and the conventional cell measures 4.416, 4.416 and 7.993 Å, with angles of 90.00, 90.00 and 90.00 degrees. The inequivalent atoms are Ba at (0.000, 0.000, 0.000), Ag at (0.000, 0.000, 0.500), As at (0.500, 0.500, 0.500) and O at (0.000, 0.500, 0.000).


7.
This record from Alexandria via LeMat-Bulk describes crystalline Rb2AlHg at its relaxed geometry. The functional is GGA-PBE.

The energy above the lowest structure with this stoichiometry is 0.0000 eV/atom. As for the crystal system: cubic. The formation energy comes out at 0.27 eV per atom. The final energy is -19.66 eV/cell.

The space group is Fm-3m (No. 225) and the conventional cell measures 8.837, 8.837 and 8.837 Å, with angles of 90.00, 90.00 and 90.00 degrees. The inequivalent atoms are Rb at (0.250, 0.250, 0.250), Al at (0.000, 0.000, 0.000) and Hg at (0.000, 0.000, 0.500).


8.
This record from Alexandria via LeMat-Bulk describes crystalline Na2TlHg6 at its relaxed geometry. The functional is GGA-PBE.

The energy above the lowest structure with this stoichiometry is 0.0138 eV/atom. As for the crystal system: monoclinic. The formation energy comes out at -0.14 eV per atom. The final energy is -16.17 eV/cell.

The space group is C2/m (No. 12) and the conventional cell measures 16.692, 8.438 and 3.546 Å, with angles of 90.00, 102.09 and 90.00 degrees. The inequivalent atoms are Na at (0.145, 0.000, 0.145), Tl at (0.000, 0.500, 0.000), Hg at (0.000, 0.177, 0.500) and Hg at (0.177, 0.321, 0.679).


9.
This record from Alexandria via LeMat-Bulk describes crystalline ThFe2H7 at its relaxed geometry. The functional is GGA-PBE.

As for the crystal system: orthorhombic. The final energy is -98.71 eV/cell.

The space group is Cmmm (No. 65) and the conventional cell measures 5.060, 8.094 and 3.666 Å, with angles of 90.00, 90.00 and 90.00 degrees. The inequivalent atoms are Th at (0.000, 0.000, 0.000), Fe at (0.000, 0.302, 0.500), H at (0.000, 0.307, 0.000), H at (0.000, 0.500, 0.500) and H at (0.191, 0.140, 0.500).


10.
This record from Alexandria via LeMat-Bulk describes crystalline AlZn2Os at its relaxed geometry. The functional is GGA-PBE.

As for the crystal system: orthorhombic. The formation energy comes out at 0.24 eV per atom. The final energy is -33.10 eV/cell.

The space group is Cmmm (No. 65) and the conventional cell measures 2.728, 4.671 and 9.689 Å, with angles of 90.00, 90.00 and 90.00 degrees. The inequivalent atoms are Al at (0.000, 0.000, 0.000), Zn at (0.000, 0.500, 0.264) and Os at (0.000, 0.000, 0.500).


11.
This record from Alexandria via LeMat-Bulk describes crystalline CsCrBi2Br8 at its relaxed geometry. The functional is GGA-PBE.

The calculation puts the uncorrected formation energy at -73.8 kJ per mole of atoms. As for the crystal system: trigonal. The final energy is -122.41 eV/cell.

The space group is R-3 (No. 148, hexagonal axes) and the conventional cell measures 7.4521, 7.4521 and 27.5968 Å, with angles of 90.00, 90.00 and 120.00 degrees. The inequivalent atoms are Cs at (0.0000, 0.0000, 0.0000), Cr at (0.0000, 0.0000, 0.5000), Bi at (0.0000, 0.0000, 0.2090), Br at (0.0000, 0.0000, 0.3070) and Br at (0.0067, 0.3922, 0.7819).


12.
This record from Alexandria via LeMat-Bulk describes crystalline TlOs2Pt at its relaxed geometry. The functional is GGA-PBE.

The energy above the lowest structure with this stoichiometry is 0.3173 eV/atom. As for the crystal system: tetragonal. The formation energy comes out at 0.70 eV per atom. The final energy is -56.10 eV/cell.

The space group is I-4m2 (No. 119) and the conventional cell measures 4.072, 4.072 and 7.881 Å, with angles of 90.00, 90.00 and 90.00 degrees. The inequivalent atoms are Tl at (0.000, 0.000, 0.000), Os at (0.000, 0.000, 0.500), Os at (0.000, 0.500, 0.750) and Pt at (0.000, 0.500, 0.250).


13.
This record from Alexandria via LeMat-Bulk describes crystalline CdCuAg2F6 at its relaxed geometry. The functional is GGA-PBE.

The calculation puts the uncorrected formation energy at -143.7 kJ per mole of atoms. As for the crystal system: triclinic. The final energy is -73.68 eV/cell.

The space group is P-1 (No. 2) and the conventional cell measures 5.897, 6.053 and 8.094 Å, with angles of 89.21, 89.27 and 84.86 degrees. The inequivalent atoms are Cd at (0.000, 0.000, 0.000), Cd at (0.500, 0.500, 0.500), Cu at (0.000, 0.000, 0.500), Cu at (0.500, 0.500, 0.000), Ag at (0.003, 0.553, 0.751), Ag at (0.474, 0.058, 0.749), F at (0.110, 0.031, 0.272), F at (0.191, 0.290, 0.946), F at (0.204, 0.309, 0.552), F at (0.280, 0.823, 0.555), F at (0.327, 0.779, 0.938) and F at (0.397, 0.544, 0.228).


14.
This record from Alexandria via LeMat-Bulk describes crystalline Tb3Y6ErSc2 at its relaxed geometry. The functional is GGA-PBE.

As for the crystal system: monoclinic. The formation energy comes out at 0.04 eV per atom. The final energy is -138.77 eV/cell.

The space group is C2/m (No. 12) and the conventional cell measures 6.099, 10.554 and 11.623 Å, with angles of 90.00, 100.05 and 90.00 degrees. The inequivalent atoms are Tb at (0.000, 0.000, 0.000), Tb at (0.000, 0.333, 0.000), Y at (0.246, 0.000, 0.744), Y at (0.249, 0.332, 0.744), Er at (0.000, 0.500, 0.500) and Sc at (0.000, 0.167, 0.500).


15.
This record from Alexandria via LeMat-Bulk describes crystalline RhSICl2 at its relaxed geometry. The functional is GGA-PBE.

The calculation puts the uncorrected formation energy at 100.0 kJ per mole of atoms. The energy above the lowest structure with this stoichiometry is 0.9043 eV/atom. As for the crystal system: tetragonal. The final energy is -11.54 eV/cell.

The space group is P4/mmm (No. 123) and the conventional cell measures 5.430, 5.430 and 5.157 Å, with angles of 90.00, 90.00 and 90.00 degrees. The inequivalent atoms are Rh at (0.000, 0.000, 0.000), S at (0.500, 0.500, 0.000), I at (0.500, 0.500, 0.500) and Cl at (0.000, 0.500, 0.500).


16.
This record from Alexandria via LeMat-Bulk describes crystalline Ag2RuRh at its relaxed geometry. The functional is GGA-PBE.

The energy above the lowest structure with this stoichiometry is 0.2932 eV/atom. As for the crystal system: tetragonal. The formation energy comes out at 0.50 eV per atom. The final energy is -40.63 eV/cell.

The space group is I4/mmm (No. 139) and the conventional cell measures 3.856, 3.856 and 8.686 Å, with angles of 90.00, 90.00 and 90.00 degrees. The inequivalent atoms are Ag at (0.000, 0.500, 0.250), Ru at (0.000, 0.000, 0.000) and Rh at (0.000, 0.000, 0.500).


17.
This record from Alexandria via LeMat-Bulk describes crystalline K3TaRh2S6 at its relaxed geometry. The functional is GGA-PBE.

The calculation puts the uncorrected formation energy at -75.2 kJ per mole of atoms. As for the crystal system: monoclinic. The final energy is -127.92 eV/cell.

The space group is C2/m (No. 12) and the conventional cell measures 6.464, 11.276 and 7.309 Å, with angles of 90.00, 107.34 and 90.00 degrees. The inequivalent atoms are K at (0.000, 0.000, 0.000), K at (0.000, 0.333, 0.000), Ta at (0.000, 0.500, 0.500), Rh at (0.000, 0.166, 0.500), S at (0.220, 0.000, 0.676) and S at (0.227, 0.330, 0.675).


18.
This record from Alexandria via LeMat-Bulk describes crystalline LiNb2Pd8 at its relaxed geometry. The functional is GGA-PBE.

As for the crystal system: orthorhombic. The formation energy comes out at -0.33 eV per atom. The final energy is -134.39 eV/cell.

The space group is Immm (No. 71) and the conventional cell measures 4.491, 5.764 and 13.215 Å, with angles of 90.00, 90.00 and 90.00 degrees. The inequivalent atoms are Li at (0.000, 0.000, 0.000), Nb at (0.000, 0.000, 0.313), Pd at (0.000, 0.239, 0.500), Pd at (0.000, 0.261, 0.135) and Pd at (0.000, 0.500, 0.319).


19.
This record from Alexandria via LeMat-Bulk describes crystalline LiAcTmPb2 at its relaxed geometry. The functional is GGA-PBE.

As for the crystal system: tetragonal. The formation energy comes out at -0.40 eV per atom. The final energy is -39.81 eV/cell.

The space group is I-4m2 (No. 119) and the conventional cell measures 4.795, 4.795 and 13.333 Å, with angles of 90.00, 90.00 and 90.00 degrees. The inequivalent atoms are Li at (0.000, 0.000, 0.000), Ac at (0.000, 0.500, 0.750), Tm at (0.000, 0.000, 0.500) and Pb at (0.000, 0.500, 0.135).


20.
This record from Alexandria via LeMat-Bulk describes crystalline ReTcHg at its relaxed geometry. The functional is GGA-PBE.

The energy above the lowest structure with this stoichiometry is 0.0000 eV/atom. As for the crystal system: trigonal. The formation energy comes out at 0.34 eV per atom. The final energy is -22.10 eV/cell.

The space group is P3m1 (No. 156) and the conventional cell measures 2.8468, 2.8468 and 7.1616 Å, with angles of 90.00, 90.00 and 120.00 degrees. The inequivalent atoms are Re at (0.0000, 0.0000, 0.0000), Tc at (0.6667, 0.3333, 0.2824) and Hg at (0.3333, 0.6667, 0.6381).


| no. | V (Å³/atom) |
| --- | --- |
| 1 | 34.06 |
| 2 | 24.72 |
| 3 | 25.71 |
| 4 | 15.30 |
| 5 | 9.35 |
| 6 | 31.18 |
| 7 | 43.13 |
| 8 | 27.13 |
| 9 | 7.51 |
| 10 | 15.43 |
| 11 | 36.87 |
| 12 | 16.33 |
| 13 | 14.39 |
| 14 | 30.69 |
| 15 | 30.41 |
| 16 | 16.14 |
| 17 | 21.19 |
| 18 | 15.55 |
| 19 | 30.66 |
| 20 | 16.75 |